Density functional theory data (PBE-GGA) for SnAsPb2 after structural relaxation.

Output
Crystal system: tetragonal
Density, g/cm³: 9.12
Formation energy, eV/atom: 0.110
Symmetry: P4/mmm, No. 123
Uncorrected energy, eV per atom: -3.91
N(E_F), states/eV/atom: 0.51
Total magnetic moment, μB per cell: 0.0

abc: 3.730 3.730 7.957
angles: 90.00 90.00 90.00
Fractional positions:
As 0.500 0.500 0.000
Pb 0.000 0.000 0.219
Pb 0.000 0.000 0.781
Sn 0.500 0.500 0.500

***

Density functional theory data (PBE-GGA) for CsNaTaMo2 after structural relaxation.

Output
Crystal system: tetragonal
Density, g/cm³: 6.46
Formation energy, eV/atom: 2.968
Symmetry: P4/mmm, No. 123
Uncorrected energy, eV per atom: -4.17
N(E_F), states/eV/atom: 1.24
Total magnetic moment, μB per cell: 4.4

abc: 5.180 5.068 5.180
angles: 90.00 90.00 90.00
Fractional positions:
Na 0.000 0.000 0.000
Cs 0.000 0.500 0.000
Ta 0.500 0.500 0.500
Mo 0.000 0.000 0.500
Mo 0.500 0.000 0.000

***

Density functional theory data (PBE-GGA) for Si2P after structural relaxation.

Output
Crystal system: monoclinic
Density, g/cm³: 2.56
Symmetry: C2/m, No. 12
Uncorrected energy, eV per atom: -5.31
N(E_F), states/eV/atom: 0.08
Total magnetic moment, μB per cell: 0.0

abc: 6.387 3.789 9.957
angles: 90.00 109.99 90.00
Fractional positions:
P 0.329 0.000 0.006
Si 0.886 0.500 0.734
Si 0.608 0.000 0.341
P 0.671 0.500 0.494
Si 0.886 0.000 0.234
Si 0.608 0.500 0.841
P 0.671 0.000 0.994
Si 0.392 0.500 0.159
Si 0.392 0.000 0.659
P 0.329 0.500 0.506
Si 0.114 0.000 0.766
Si 0.114 0.500 0.266

***

Density functional theory data (PBE-GGA) for Nb3VS6 after structural relaxation.

Output
Crystal system: hexagonal
Density, g/cm³: 4.85
Symmetry: P6_322, No. 182
Uncorrected energy, eV per atom: -7.58
N(E_F), states/eV/atom: 0.03
Total magnetic moment, μB per cell: 4.0

abc: 5.812 5.812 12.227
angles: 90.00 90.00 120.00
Fractional positions:
S 0.331 0.335 0.129
S 0.003 0.669 0.129
S 0.003 0.335 0.371
S 0.331 0.997 0.371
V 0.333 0.667 0.250
Nb 0.667 0.333 0.002
S 0.335 0.331 0.871
S 0.669 0.003 0.871
S 0.997 0.665 0.871
S 0.669 0.665 0.629
S 0.335 0.003 0.629
V 0.667 0.333 0.750
S 0.665 0.997 0.129
Nb 0.333 0.667 0.502
S 0.997 0.331 0.629
Nb 0.667 0.333 0.498
Nb 0.000 0.000 0.500
S 0.665 0.669 0.371
Nb 0.000 0.000 0.000
Nb 0.333 0.667 0.998

***

Density functional theory data (PBE-GGA) for Y6SbSe5 after structural relaxation.

Output
Crystal system: monoclinic
Density, g/cm³: 5.78
Symmetry: C2/m, No. 12
Uncorrected energy, eV per atom: -6.69
N(E_F), states/eV/atom: 0.50
Total magnetic moment, μB per cell: 0.0

abc: 7.164 7.164 7.194
angles: 99.54 99.54 120.07
Fractional positions:
Y 0.256 0.256 0.743
Se 0.500 0.500 0.500
Y 0.744 0.744 0.257
Y 0.912 0.571 0.738
Y 0.571 0.912 0.738
Y 0.429 0.088 0.262
Se 0.162 0.838 0.500
Y 0.088 0.429 0.262
Se 0.332 0.668 0.000
Se 0.838 0.162 0.500
Sb 0.000 0.000 0.000
Se 0.668 0.332 0.000

***

Density functional theory data (PBE-GGA) for Th3Pd2Rh2 after structural relaxation.

Output
Crystal system: cubic
Density, g/cm³: 11.52
Formation energy, eV/atom: -0.825
Symmetry: I2_13, No. 199
Uncorrected energy, eV per atom: -7.59
N(E_F), states/eV/atom: 0.74
Total magnetic moment, μB per cell: 0.0

abc: 7.474 7.474 7.474
angles: 109.47 109.47 109.47
Fractional positions:
Pd 0.319 0.500 0.000
Rh 0.000 0.000 0.344
Th 0.750 0.612 0.362
Pd 0.500 0.819 0.500
Th 0.112 0.362 0.250
Rh 0.656 0.156 0.156
Th 0.388 0.138 0.750
Rh 0.500 0.344 0.500
Th 0.250 0.888 0.138
Th 0.638 0.750 0.888
Rh 0.844 0.500 0.000
Th 0.862 0.250 0.612
Pd 0.000 0.000 0.819
Pd 0.181 0.681 0.681

***

Density functional theory data (PBE-GGA) for HoEr2InO after structural relaxation.

Output
Crystal system: tetragonal
Density, g/cm³: 9.84
Symmetry: P4/mmm, No. 123
Uncorrected energy, eV per atom: -5.69
N(E_F), states/eV/atom: 0.32
Total magnetic moment, μB per cell: 0.0

abc: 4.758 4.729 4.729
angles: 90.00 90.00 90.00
Fractional positions:
Er 0.000 0.500 0.000
In 0.500 0.500 0.500
Ho 0.500 0.000 0.000
O 0.000 0.000 0.000
Er 0.000 0.000 0.500

***

Density functional theory data (PBE-GGA) for CaMgSe2 after structural relaxation.

Output
Crystal system: tetragonal
Density, g/cm³: 4.11
Symmetry: P4/mmm, No. 123
Uncorrected energy, eV per atom: -3.81
N(E_F), states/eV/atom: 0.14
Total magnetic moment, μB per cell: 0.0

abc: 3.556 3.556 7.108
angles: 90.00 90.00 90.00
Fractional positions:
Ca 0.500 0.500 0.250
Se 0.000 0.000 0.511
Mg 0.500 0.500 0.750
Se 0.000 0.000 0.989

***

Density functional theory data (PBE-GGA) for CdTeF3 after structural relaxation.

Output
Crystal system: cubic
Density, g/cm³: 5.31
Symmetry: Pm-3m, No. 221
Uncorrected energy, eV per atom: -3.23
N(E_F), states/eV/atom: 0.00
Total magnetic moment, μB per cell: 3.0

abc: 4.527 4.527 4.527
angles: 90.00 90.00 90.00
Fractional positions:
Cd 0.000 0.000 0.000
F 0.000 0.500 0.000
Te 0.500 0.500 0.500
F 0.000 0.000 0.500
F 0.500 0.000 0.000

***

Density functional theory data (PBE-GGA) for NaLiCl2 after structural relaxation.

Output
Crystal system: trigonal
Density, g/cm³: 1.46
Symmetry: R-3m, No. 166
Uncorrected energy, eV per atom: -3.38
N(E_F), states/eV/atom: 0.00
Total magnetic moment, μB per cell: 0.0

abc: 7.758 7.758 7.758
angles: 31.70 31.70 31.70
Fractional positions:
Cl 0.902 0.902 0.902
Na 0.500 0.500 0.500
Cl 0.098 0.098 0.098
Li 0.000 0.000 0.000

***

Density functional theory data (PBE-GGA) for Nd2YIn2Rh5 after structural relaxation.

Output
Crystal system: tetragonal
Density, g/cm³: 9.04
Formation energy, eV/atom: -0.510
Symmetry: P4/mbm, No. 127
Uncorrected energy, eV per atom: -6.33
N(E_F), states/eV/atom: 0.57
Total magnetic moment, μB per cell: 0.0

abc: 3.754 10.476 10.476
angles: 90.00 90.00 90.00
Fractional positions:
Rh 0.500 0.297 0.565
Y 0.000 0.000 0.000
Rh 0.500 0.500 0.000
Rh 0.500 0.797 0.935
In 0.000 0.374 0.126
In 0.000 0.874 0.374
Nd 0.000 0.329 0.829
Rh 0.500 0.703 0.435
Rh 0.500 0.565 0.703
In 0.000 0.126 0.626
Nd 0.000 0.171 0.329
Nd 0.000 0.671 0.171
Rh 0.500 0.935 0.203
Y 0.000 0.500 0.500
Rh 0.500 0.203 0.065
In 0.000 0.626 0.874
Nd 0.000 0.829 0.671
Rh 0.500 0.065 0.797
Rh 0.500 0.435 0.297
Rh 0.500 0.000 0.500

***

Density functional theory data (PBE-GGA) for ZnAgHgF6 after structural relaxation.

Output
Crystal system: trigonal
Density, g/cm³: 6.15
Symmetry: P-31c, No. 163
Uncorrected energy, eV per atom: -3.31
N(E_F), states/eV/atom: 0.49
Total magnetic moment, μB per cell: 2.1

abc: 5.713 5.713 9.315
angles: 90.00 90.00 120.00
Fractional positions:
F 0.037 0.680 0.870
F 0.642 0.963 0.870
F 0.320 0.358 0.870
F 0.963 0.320 0.130
Ag 0.000 0.000 0.500
F 0.358 0.320 0.370
F 0.358 0.037 0.130
F 0.320 0.963 0.630
Zn 0.667 0.333 0.250
F 0.963 0.642 0.370
F 0.680 0.037 0.370
Zn 0.333 0.667 0.750
F 0.680 0.642 0.130
F 0.642 0.680 0.630
Hg 0.333 0.667 0.250
F 0.037 0.358 0.630
Hg 0.667 0.333 0.750
Ag 0.000 0.000 0.000